A plane-wave DFT calculation with PBE was carried out for a relaxed NiSbBr crystal.

total magnetization: 0.000 μB/f.u.
symmetry: No. 156
electronic total energy: -4.027 eV/atom

Unit cell a=3.605 b=3.605 c=7.120 alpha=90.00 beta=90.00 gamma=120.00
Sites, in units of the cell vectors:
Ni1 0.000 0.000 0.000
Sb1 0.667 0.333 0.211
Br1 0.333 0.667 0.800